This record from Alexandria via LeMat-Bulk describes crystalline InCuS2N at its relaxed geometry. The functional is PBEsol.

Results
energy relative to the elements, uncorrected = 1222 meV/atom
magnetization = 0.5606 μB/atom
Fermi-level density of states = 3.6 states/eV/cell

```
InCuS2N
1.0
5.017 0.000 0.000
0.000 5.017 0.000
0.000 0.000 4.087
In Cu S N
1 1 2 1
direct
0.000 0.000 0.000
0.500 0.500 0.500
0.000 0.500 0.000
0.500 0.000 0.000
0.000 0.000 0.500
```

=====

This record from Alexandria via LeMat-Bulk describes crystalline BeCrO3 at its relaxed geometry. The functional is PBEsol.

Results
energy relative to the elements, uncorrected = -988 meV/atom
magnetization = 0.1806 μB/atom
Fermi-level density of states = 2.8 states/eV/cell

```
BeCrO3
1.0
3.623 0.000 0.000
0.000 3.623 0.000
0.000 0.000 3.623
Be Cr O
1 1 3
direct
0.000 0.000 0.000
0.500 0.500 0.500
0.000 0.500 0.500
0.500 0.000 0.500
0.500 0.500 0.000
```

=====

This record from Alexandria via LeMat-Bulk describes crystalline DyZnSn at its relaxed geometry. The functional is PBEsol.

Results
magnetization = 0.0000 μB/atom
ΔE_f = -0.574 eV/atom
Fermi-level density of states = 2.5 states/eV/cell

```
DyZnSn
1.0
4.559 0.000 0.000
-2.279 3.948 0.000
0.000 0.000 7.147
Dy Zn Sn
2 2 2
direct
0.000 0.000 0.000
0.000 0.000 0.500
0.333 0.667 0.250
0.667 0.333 0.750
0.333 0.667 0.750
0.667 0.333 0.250
```

=====

This record from Alexandria via LeMat-Bulk describes crystalline InAsWBr2 at its relaxed geometry. The functional is PBEsol.

Results
energy relative to the elements, uncorrected = 1382 meV/atom
magnetization = 0.7493 μB/atom
Fermi-level density of states = 5.2 states/eV/cell

```
InAsWBr2
1.0
5.173 0.000 0.000
0.000 5.173 0.000
0.000 0.000 5.378
In As W Br
1 1 1 2
direct
0.000 0.000 0.000
0.000 0.000 0.500
0.500 0.500 0.500
0.000 0.500 0.000
0.500 0.000 0.000
```